# 1
## LaTb5PrSm2 (GGA-PBE)

Data for a relaxed structure of LaTb5PrSm2.

Volume = 33.622 Å³ per atom
Fermi-level density of states = 1.13 states/eV/atom
Symmetry = I4/mcm
Formation energy from the elements = 0.24 eV per atom

Structure (POSCAR):
```
LaTb5PrSm2
1.0
-0.931 3.013 8.216
-6.730 -5.527 1.264
8.797 -4.204 -2.174
La Tb Pr Sm
2 10 2 4
direct
0.250 0.750 0.500
0.750 0.250 0.500
0.930 0.430 0.270
0.661 0.161 0.730
0.070 0.570 0.730
0.161 0.070 0.730
0.570 0.661 0.730
0.839 0.930 0.270
0.430 0.339 0.270
0.339 0.839 0.270
0.500 0.500 0.000
0.000 0.000 0.000
0.250 0.250 0.500
0.750 0.750 0.500
0.118 0.382 0.000
0.618 0.118 0.000
0.382 0.882 0.000
0.882 0.618 0.000
```


# 2
## La2TbPrSm (GGA-PBE)

Data for a relaxed structure of La2TbPrSm.

Volume = 35.954 Å³ per atom
Fermi-level density of states = 1.48 states/eV/atom
Symmetry = P2/c
Formation energy from the elements = 0.24 eV per atom

Structure (POSCAR):
```
La2TbPrSm
1.0
7.054 0.000 0.000
0.000 7.910 1.378
0.000 -1.096 6.253
La Tb Pr Sm
4 2 2 2
direct
0.690 0.698 0.751
0.690 0.302 0.749
0.310 0.698 0.251
0.310 0.302 0.249
0.150 0.500 0.750
0.850 0.500 0.250
0.000 0.000 0.000
0.000 0.000 0.500
0.589 0.000 0.250
0.411 0.000 0.750
```


# 3
## La4Tb2Pr2Sm (GGA-PBE)

Data for a relaxed structure of La4Tb2Pr2Sm.

Volume = 35.306 Å³ per atom
Fermi-level density of states = 1.69 states/eV/atom
Symmetry = C2/m
Formation energy from the elements = 0.02 eV per atom

Structure (POSCAR):
```
La4Tb2Pr2Sm
1.0
-2.917 0.917 -4.231
0.486 -8.144 1.120
-6.066 2.786 4.787
La Tb Pr Sm
4 2 2 1
direct
0.777 0.554 0.666
0.223 0.446 0.334
0.555 0.109 0.334
0.445 0.891 0.666
0.889 0.778 0.332
0.111 0.222 0.668
0.334 0.667 0.999
0.666 0.333 0.001
0.000 0.000 0.000
```


# 4
## LaTb4Pr2Sm (GGA-PBE)

Data for a relaxed structure of LaTb4Pr2Sm.

Volume = 33.784 Å³ per atom
Fermi-level density of states = 1.40 states/eV/atom
Symmetry = P2/m
Formation energy from the elements = 0.01 eV per atom

Structure (POSCAR):
```
LaTb4Pr2Sm
1.0
-2.836 1.034 -2.049
1.741 -4.078 -4.468
-6.057 -9.709 3.483
La Tb Pr Sm
1 4 2 1
direct
0.500 0.500 0.000
0.000 0.750 0.748
0.000 0.250 0.252
0.500 0.749 0.252
0.500 0.251 0.748
0.000 0.000 0.000
0.500 0.000 0.500
0.000 0.500 0.500
```


# 5
## La2TbPr6Sm3 (GGA-PBE)

Data for a relaxed structure of La2TbPr6Sm3.

Volume = 35.487 Å³ per atom
Fermi-level density of states = 1.63 states/eV/atom
Symmetry = C2/m
Formation energy from the elements = 0.02 eV per atom

Structure (POSCAR):
```
La2TbPr6Sm3
1.0
6.395 -0.001 -0.002
-3.197 5.539 -0.002
-1.072 -1.856 12.025
La Tb Pr Sm
2 1 6 3
direct
0.333 0.667 0.000
0.667 0.333 0.000
0.000 0.000 0.000
0.916 0.584 0.748
0.752 0.752 0.252
0.084 0.416 0.252
0.584 0.916 0.748
0.248 0.248 0.748
0.416 0.084 0.252
0.166 0.834 0.500
0.834 0.166 0.500
0.500 0.500 0.500
```


# 6
## La2TbPrSm5 (GGA-PBE)

Data for a relaxed structure of La2TbPrSm5.

Volume = 34.753 Å³ per atom
Fermi-level density of states = 1.53 states/eV/atom
Symmetry = I4/mcm
Formation energy from the elements = 0.25 eV per atom

Structure (POSCAR):
```
La2TbPrSm5
1.0
-6.537 5.803 -1.022
-3.618 -5.158 -6.144
0.810 -4.126 9.289
La Tb Pr Sm
4 2 2 10
direct
0.119 0.381 0.000
0.619 0.119 0.000
0.381 0.881 0.000
0.881 0.619 0.000
0.250 0.750 0.500
0.750 0.250 0.500
0.250 0.250 0.500
0.750 0.750 0.500
0.926 0.426 0.282
0.643 0.143 0.718
0.074 0.574 0.718
0.143 0.074 0.718
0.574 0.643 0.718
0.857 0.926 0.282
0.426 0.357 0.282
0.357 0.857 0.282
0.500 0.500 0.000
0.000 0.000 0.000
```


# 7
## La3TbPrSm (GGA-PBE)

Data for a relaxed structure of La3TbPrSm.

Volume = 35.757 Å³ per atom
Fermi-level density of states = 1.38 states/eV/atom
Symmetry = C2/m
Formation energy from the elements = 0.15 eV per atom

Structure (POSCAR):
```
La3TbPrSm
1.0
-2.987 4.727 1.941
-5.283 -8.699 4.032
4.017 0.248 5.578
La Tb Pr Sm
6 2 2 2
direct
0.841 0.682 0.242
0.780 0.560 0.727
0.483 0.967 0.247
0.220 0.440 0.273
0.517 0.033 0.753
0.159 0.318 0.758
0.642 0.283 0.482
0.358 0.717 0.518
0.353 0.705 0.973
0.647 0.295 0.027
0.059 0.119 0.264
0.941 0.881 0.736
```


# 8
## LaTbPr5Sm2 (GGA-PBE)

Data for a relaxed structure of LaTbPr5Sm2.

Volume = 35.852 Å³ per atom
Fermi-level density of states = 1.65 states/eV/atom
Symmetry = I4/mcm
Formation energy from the elements = 0.27 eV per atom

Structure (POSCAR):
```
LaTbPr5Sm2
1.0
9.094 0.000 0.000
0.000 9.094 0.000
-4.547 -4.547 7.803
La Tb Pr Sm
2 2 10 4
direct
0.250 0.250 0.500
0.750 0.750 0.500
0.250 0.750 0.500
0.750 0.250 0.500
0.931 0.431 0.273
0.657 0.157 0.727
0.069 0.569 0.727
0.157 0.069 0.727
0.569 0.657 0.727
0.843 0.931 0.273
0.431 0.343 0.273
0.343 0.843 0.273
0.500 0.500 0.000
0.000 0.000 0.000
0.115 0.385 0.000
0.615 0.115 0.000
0.385 0.885 0.000
0.885 0.615 0.000
```


# 9
## LaTb3Pr6Sm2 (GGA-PBE)

Data for a relaxed structure of LaTb3Pr6Sm2.

Volume = 34.843 Å³ per atom
Fermi-level density of states = 1.42 states/eV/atom
Symmetry = C2/m
Formation energy from the elements = 0.01 eV per atom

Structure (POSCAR):
```
LaTb3Pr6Sm2
1.0
6.367 -0.002 0.016
-3.184 5.514 0.016
-1.093 -1.892 11.899
La Tb Pr Sm
1 3 6 2
direct
0.000 0.000 0.000
0.167 0.833 0.500
0.833 0.167 0.500
0.500 0.500 0.500
0.915 0.581 0.747
0.751 0.751 0.254
0.085 0.419 0.253
0.581 0.915 0.747
0.249 0.249 0.746
0.419 0.085 0.253
0.334 0.666 0.000
0.666 0.334 0.000
```